Computed, not measured: a relaxed structure of Y6HgSe5 at the GGA-PBE level of DFT.

a b c (Å): 7.1551 7.1551 7.1419
angles (deg): 99.58 99.58 119.84
Last column: nearest neighbours and their distance in Å.
Fractional positions:
Y (0.0806, 0.4168, 0.7497)  5 Se 2.90-2.93, 1 Hg 2.94
Y (0.2474, 0.2474, 0.2499)  5 Se 2.91-2.93, 1 Hg 2.93
Y (0.4168, 0.0806, 0.7497)  5 Se 2.90-2.93, 1 Hg 2.94
Y (0.5832, 0.9194, 0.2503)  5 Se 2.90-2.93, 1 Hg 2.94
Y (0.7526, 0.7526, 0.7501)  5 Se 2.91-2.93, 1 Hg 2.93
Y (0.9194, 0.5832, 0.2503)  5 Se 2.90-2.93, 1 Hg 2.94
Hg (0.5000, 0.5000, 0.0000)  6 Y 2.93-2.94
Se (0.0000, 0.0000, 0.5000)  6 Y 2.91-2.93
Se (0.1662, 0.8338, 0.0000)  6 Y 2.91-2.92
Se (0.3328, 0.6672, 0.5000)  6 Y 2.90-2.93
Se (0.6672, 0.3328, 0.5000)  6 Y 2.90-2.93
Se (0.8338, 0.1662, 0.0000)  6 Y 2.91-2.92

Computed properties:
The space group is C2/m (12). The calculation puts the final energy at -6.2757 eV per atom.



Computed, not measured: a relaxed structure of Y4HgSe5 at the GGA-PBE level of DFT.

a b c (Å): 9.7006 9.7006 9.0049
angles (deg): 107.44 107.44 24.15
Last column: nearest neighbours and their distance in Å.
Fractional positions:
Y (0.0159, 0.0159, 0.2310)  4 Se 2.81-2.86
Y (0.3272, 0.3272, 0.4283)  5 Se 2.81-2.89, 1 Hg 3.14
Y (0.6728, 0.6728, 0.5717)  5 Se 2.81-2.89, 1 Hg 3.14
Y (0.9841, 0.9841, 0.7690)  4 Se 2.81-2.86
Hg (0.5000, 0.5000, 0.5000)  6 Y 3.14-3.24, 4 Se 3.40
Se (0.1279, 0.1279, 0.7429)  3 Y 2.81-2.83
Se (0.1720, 0.1720, 0.3424)  4 Y 2.81-2.89
Se (0.5000, 0.5000, 0.0000)  4 Y 2.86
Se (0.8280, 0.8280, 0.6576)  4 Y 2.81-2.89
Se (0.8721, 0.8721, 0.2571)  3 Y 2.81-2.83

Computed properties:
The space group is C2/m (12). The calculation puts the final energy at -5.8570 eV per atom.



Computed, not measured: a relaxed structure of Y2Hg2Se at the GGA-PBE level of DFT.

a b c (Å): 7.5746 7.5746 4.7783
angles (deg): 90.00 90.00 90.00
Last column: nearest neighbours and their distance in Å.
Fractional positions:
Y (0.1697, 0.3303, 0.0000)  2 Se 2.81
Y (0.3303, 0.8303, 0.0000)  2 Se 2.81
Y (0.6697, 0.1697, 0.0000)  2 Se 2.81
Y (0.8303, 0.6697, 0.0000)  2 Se 2.81
Hg (0.1377, 0.6377, 0.5000)  1 Hg 2.95, 2 Y 3.16
Hg (0.3623, 0.1377, 0.5000)  1 Hg 2.95, 2 Y 3.16
Hg (0.6377, 0.8623, 0.5000)  1 Hg 2.95, 2 Y 3.16
Hg (0.8623, 0.3623, 0.5000)  1 Hg 2.95, 2 Y 3.16
Se (0.0000, 0.0000, 0.0000)  4 Y 2.81
Se (0.5000, 0.5000, 0.0000)  4 Y 2.81

Computed properties:
The space group is P4/mbm (127). The calculation puts the final energy at -4.2022 eV per atom.



Computed, not measured: a relaxed structure of YHg2Se at the GGA-PBE level of DFT.

a b c (Å): 3.7725 3.7725 7.4852
angles (deg): 90.00 90.00 90.00
Last column: nearest neighbours and their distance in Å.
Fractional positions:
Y (0.0000, 0.0000, 0.0000)  4 Se 2.86
Hg (0.0000, 0.0000, 0.5490)  4 Hg 3.28, 1 Y 3.38, 4 Se 3.55
Hg (0.5000, 0.5000, 0.2944)  1 Se 3.24, 4 Hg 3.28, 4 Y 3.46
Se (0.5000, 0.5000, 0.8613)  4 Y 2.86

Computed properties:
The space group is P4mm (99). The calculation puts the final energy at -3.3630 eV per atom.



Computed, not measured: a relaxed structure of YHgSe at the GGA-PBE level of DFT.

a b c (Å): 4.9528 4.9528 4.9528
angles (deg): 60.00 60.00 60.00
Last column: nearest neighbours and their distance in Å.
Fractional positions:
Y (0.0000, 0.0000, 0.0000)  4 Se 3.03, 4 Hg 3.03
Hg (0.2500, 0.2500, 0.2500)  4 Y 3.03
Se (0.7500, 0.7500, 0.7500)  4 Y 3.03

Computed properties:
The space group is F-43m (216). The energy above the most stable polymorph in this dataset is 218 meV/atom.



Computed, not measured: a relaxed structure of Y8HgSe6 at the GGA-PBE level of DFT.

a b c (Å): 10.5894 10.5894 4.0527
angles (deg): 90.00 90.00 120.00
Last column: nearest neighbours and their distance in Å.
Fractional positions:
Y (0.0348, 0.3202, 0.2488)  4 Se 2.81-3.10
Y (0.2855, 0.9652, 0.2488)  4 Se 2.81-3.10
Y (0.3202, 0.2855, 0.7512)  4 Se 2.81-3.10
Y (0.3333, 0.6667, 0.7514)  6 Se 2.87-2.88
Y (0.6667, 0.3333, 0.2486)  6 Se 2.87-2.88
Y (0.6798, 0.7145, 0.2488)  4 Se 2.81-3.10
Y (0.7145, 0.0348, 0.7512)  4 Se 2.81-3.10
Y (0.9652, 0.6798, 0.7512)  4 Se 2.81-3.10
Hg (0.0000, 0.0000, 0.0000)  6 Y 3.38
Se (0.1318, 0.6488, 0.2497)  6 Y 2.81-3.10
Se (0.3512, 0.4830, 0.2497)  6 Y 2.81-3.10
Se (0.4830, 0.1318, 0.7503)  6 Y 2.81-3.10
Se (0.5170, 0.8682, 0.2497)  6 Y 2.81-3.10
Se (0.6488, 0.5170, 0.7503)  6 Y 2.81-3.10
Se (0.8682, 0.3512, 0.7503)  6 Y 2.81-3.10

Computed properties:
The space group is P-3 (147). The calculation puts the final energy at -6.1816 eV per atom.



Computed, not measured: a relaxed structure of YHg2Se at the GGA-PBE level of DFT.

a b c (Å): 6.7525 6.7459 4.1315
angles (deg): 72.26 72.09 35.65
Last column: nearest neighbours and their distance in Å.
Fractional positions:
Y (0.0000, 0.0000, 0.0000)  4 Se 2.91-2.93
Hg (0.0000, 0.5000, 0.0000)  4 Hg 2.91-2.93
Hg (0.5000, 0.0000, 0.5000)  4 Hg 2.91-2.93
Se (0.5000, 0.5000, 0.5000)  4 Y 2.91-2.93

Computed properties:
The space group is Fmmm (69). The calculation puts the final energy at -3.3741 eV per atom.



Computed, not measured: a relaxed structure of Y5HgSe4 at the GGA-PBE level of DFT.

a b c (Å): 7.1702 7.1702 7.1702
angles (deg): 99.62 99.62 131.74
Last column: nearest neighbours and their distance in Å.
Fractional positions:
Y (0.0000, 0.0000, 0.0000)  2 Hg 2.93, 4 Se 2.94
Y (0.1971, 0.6010, 0.7981)  5 Se 2.89-2.94, 1 Hg 2.95
Y (0.3990, 0.1971, 0.5961)  5 Se 2.89-2.94, 1 Hg 2.95
Y (0.6010, 0.8029, 0.4039)  5 Se 2.89-2.94, 1 Hg 2.95
Y (0.8029, 0.3990, 0.2019)  5 Se 2.89-2.94, 1 Hg 2.95
Hg (0.5000, 0.5000, 0.0000)  6 Y 2.93-2.95
Se (0.0996, 0.3020, 0.4016)  6 Y 2.89-2.94
Se (0.3020, 0.9004, 0.2024)  6 Y 2.89-2.94
Se (0.6980, 0.0996, 0.7976)  6 Y 2.89-2.94
Se (0.9004, 0.6980, 0.5984)  6 Y 2.89-2.94

Computed properties:
The space group is I4/m (87). The calculation puts the final energy at -6.1854 eV per atom.



Results for DOS at the Fermi energy: 3.96; 0.33; 7.07; 3.12; 3.82; 12.26; 1.48; 3.11 (in states/eV/cell, following the order of the records).